An optimized crystal structure of CaZnAs3, computed with PBE.

```
CaZnAs3
1.0
4.9210 0.0000 0.0000
0.0000 4.9210 0.0000
0.0000 0.0000 4.9210
Ca Zn As
1 1 3
Cartesian
0.0000 0.0000 0.0000
2.4605 2.4605 2.4605
0.0000 2.4605 2.4605
2.4605 0.0000 2.4605
2.4605 2.4605 0.0000
```

Results
The symmetry is Pm-3m. The calculation puts the density at 4.602 Mg/m³. For the total moment, the calculation gives 0.00 μB/cell. For the volume, the calculation gives 23.834 Å³ per atom. Its energy of formation from the pure elements is 0.04 eV/atom.